No. 1
DFT (PBE) results for CaScTc2 after structural relaxation.

a = 5.442 Å, b = 5.442 Å, c = 5.442 Å
α = 144.64°, β = 127.62°, γ = 64.79°
Element x y z (fractional)
Ca (0.000, 0.000, 0.000)
Sc (0.500, 0.500, 0.000)
Tc (0.259, 0.759, 0.500)
Tc (0.741, 0.241, 0.500)

Values from the calculation:
Space group: No. 71
DOS at the Fermi energy, states/eV/f.u.: 4.7
Formation energy from the elements, eV per formula unit: 1.78
Total magnetization, μB per formula unit: 0.00


No. 2
DFT (PBE) results for CaScTc after structural relaxation.

a = 6.315 Å, b = 6.315 Å, c = 6.315 Å
α = 148.35°, β = 148.35°, γ = 45.37°
Element x y z (fractional)
Ca (0.000, 0.000, 0.000)
Sc (0.730, 0.730, 0.000)
Tc (0.329, 0.329, 0.000)

Values from the calculation:
Space group: No. 107
DOS at the Fermi energy, states/eV/f.u.: 3.4
Formation energy from the elements, eV per formula unit: 0.48
Total magnetization, μB per formula unit: 0.00


No. 3
DFT (PBE) results for CaScTc3 after structural relaxation.

a = 4.738 Å, b = 4.738 Å, c = 4.738 Å
α = 90.00°, β = 90.00°, γ = 90.00°
Element x y z (fractional)
Ca (0.000, 0.000, 0.000)
Sc (0.500, 0.500, 0.500)
Tc (0.000, 0.500, 0.500)
Tc (0.500, 0.000, 0.500)
Tc (0.500, 0.500, 0.000)

Values from the calculation:
Space group: No. 221
DOS at the Fermi energy, states/eV/f.u.: 4.1
Formation energy from the elements, eV per formula unit: 6.92
Total magnetization, μB per formula unit: 2.59


No. 4
DFT (PBE) results for CaScTc2 after structural relaxation.

a = 4.694 Å, b = 4.694 Å, c = 4.694 Å
α = 60.00°, β = 60.00°, γ = 60.00°
Element x y z (fractional)
Ca (0.000, 0.000, 0.000)
Sc (0.250, 0.250, 0.250)
Tc (0.500, 0.500, 0.500)
Tc (0.750, 0.750, 0.750)

Values from the calculation:
Space group: No. 216
DOS at the Fermi energy, states/eV/f.u.: 4.5
Formation energy from the elements, eV per formula unit: 1.43
Total magnetization, μB per formula unit: 0.00


No. 5
DFT (PBE) results for CaScTc2 after structural relaxation.

a = 9.249 Å, b = 9.249 Å, c = 9.249 Å
α = 19.22°, β = 19.22°, γ = 19.22°
Element x y z (fractional)
Ca (0.000, 0.000, 0.000)
Sc (0.500, 0.500, 0.500)
Tc (0.244, 0.244, 0.244)
Tc (0.756, 0.756, 0.756)

Values from the calculation:
Space group: No. 166
DOS at the Fermi energy, states/eV/f.u.: 5.3
Formation energy from the elements, eV per formula unit: 1.98
Total magnetization, μB per formula unit: 0.00


No. 6
DFT (PBE) results for CaSc2Tc after structural relaxation.

a = 4.923 Å, b = 4.923 Å, c = 4.923 Å
α = 60.00°, β = 60.00°, γ = 60.00°
Element x y z (fractional)
Ca (0.000, 0.000, 0.000)
Sc (0.250, 0.250, 0.250)
Sc (0.750, 0.750, 0.750)
Tc (0.500, 0.500, 0.500)

Values from the calculation:
Space group: No. 225
DOS at the Fermi energy, states/eV/f.u.: 7.3
Formation energy from the elements, eV per formula unit: 0.69
Total magnetization, μB per formula unit: 0.00


No. 7
DFT (PBE) results for CaScTc2 after structural relaxation.

a = 5.456 Å, b = 5.456 Å, c = 2.853 Å
α = 99.75°, β = 99.75°, γ = 115.27°
Element x y z (fractional)
Ca (0.000, 0.000, 0.000)
Sc (0.500, 0.500, 0.000)
Tc (0.000, 0.500, 0.500)
Tc (0.500, 0.000, 0.500)

Values from the calculation:
Space group: No. 12
DOS at the Fermi energy, states/eV/f.u.: 5.0
Formation energy from the elements, eV per formula unit: 1.79
Total magnetization, μB per formula unit: 0.00


No. 8
DFT (PBE) results for CaSc2Tc after structural relaxation.

a = 5.159 Å, b = 5.159 Å, c = 5.159 Å
α = 131.94°, β = 116.73°, γ = 83.21°
Element x y z (fractional)
Ca (0.000, 0.000, 0.000)
Sc (0.288, 0.788, 0.500)
Sc (0.712, 0.212, 0.500)
Tc (0.500, 0.500, 0.000)

Values from the calculation:
Space group: No. 71
DOS at the Fermi energy, states/eV/f.u.: 2.5
Formation energy from the elements, eV per formula unit: 0.44
Total magnetization, μB per formula unit: 0.00


No. 9
DFT (PBE) results for CaSc2Tc after structural relaxation.

a = 4.623 Å, b = 4.623 Å, c = 4.044 Å
α = 90.00°, β = 90.00°, γ = 90.00°
Element x y z (fractional)
Ca (0.000, 0.000, 0.000)
Sc (0.000, 0.500, 0.500)
Sc (0.500, 0.000, 0.500)
Tc (0.500, 0.500, 0.000)

Values from the calculation:
Space group: No. 123
DOS at the Fermi energy, states/eV/f.u.: 5.3
Formation energy from the elements, eV per formula unit: 1.22
Total magnetization, μB per formula unit: 0.00


No. 10
DFT (PBE) results for CaScTc2 after structural relaxation.

a = 2.900 Å, b = 2.900 Å, c = 9.215 Å
α = 90.00°, β = 90.00°, γ = 109.27°
Element x y z (fractional)
Ca (0.000, 0.000, 0.000)
Sc (0.000, 0.000, 0.500)
Tc (0.500, 0.500, 0.267)
Tc (0.500, 0.500, 0.733)

Values from the calculation:
Space group: No. 65
DOS at the Fermi energy, states/eV/f.u.: 4.7
Formation energy from the elements, eV per formula unit: 1.48
Total magnetization, μB per formula unit: 0.00


No. 11
DFT (PBE) results for CaSc2Tc after structural relaxation.

a = 3.357 Å, b = 3.354 Å, c = 8.596 Å
α = 90.00°, β = 90.14°, γ = 90.00°
Element x y z (fractional)
Ca (0.000, 0.000, 0.000)
Sc (0.499, 0.500, 0.328)
Sc (0.501, 0.500, 0.672)
Tc (0.000, 0.000, 0.500)

Values from the calculation:
Space group: No. 10
DOS at the Fermi energy, states/eV/f.u.: 5.0
Formation energy from the elements, eV per formula unit: -0.35
Total magnetization, μB per formula unit: 0.00


No. 12
DFT (PBE) results for CaSc2Tc after structural relaxation.

a = 10.202 Å, b = 10.202 Å, c = 10.202 Å
α = 18.92°, β = 18.92°, γ = 18.92°
Element x y z (fractional)
Ca (0.000, 0.000, 0.000)
Sc (0.229, 0.229, 0.229)
Sc (0.771, 0.771, 0.771)
Tc (0.500, 0.500, 0.500)

Values from the calculation:
Space group: No. 166
DOS at the Fermi energy, states/eV/f.u.: 5.1
Formation energy from the elements, eV per formula unit: 0.47
Total magnetization, μB per formula unit: 0.00